No. 1
A plane-wave DFT calculation with PBE-GGA was carried out for a relaxed structure of Sm5TlHg2.

E_form = -2.50 eV/f.u.
total energy = -58.13 eV per cell
M_tot = 0.000 μB/cell

a = 7.9739 Å, b = 7.9739 Å, c = 9.4345 Å
α = 115.00°, β = 115.00°, γ = 90.00°
With the nearest neighbours (Å) after each atom.
Element x y z (fractional)
1 Tl 0.2500 0.2500 0.5000  8 Sm 3.34
2 Tl 0.7500 0.7500 0.5000  8 Sm 3.34
3 Sm 0.5082 0.6867 0.6949  3 Hg 3.28-3.30, 2 Tl 3.34, 2 Sm 3.57-3.63
4 Sm 0.1867 0.0082 0.6949  3 Hg 3.28-3.30, 2 Tl 3.34, 2 Sm 3.57-3.63
5 Sm 0.5000 0.5000 0.0000  4 Hg 3.11
6 Sm 0.3133 0.8133 0.3051  3 Hg 3.28-3.30, 2 Tl 3.34, 2 Sm 3.57-3.63
7 Sm 0.9918 0.4918 0.3051  3 Hg 3.28-3.30, 2 Tl 3.34, 2 Sm 3.57-3.63
8 Sm 0.6867 0.1867 0.6949  3 Hg 3.28-3.30, 2 Tl 3.34, 2 Sm 3.57-3.63
9 Sm 0.4918 0.3133 0.3051  3 Hg 3.28-3.30, 2 Tl 3.34, 2 Sm 3.57-3.63
10 Sm 0.0000 0.0000 0.0000  4 Hg 3.11
11 Sm 0.0082 0.5082 0.6949  3 Hg 3.28-3.30, 2 Tl 3.34, 2 Sm 3.57-3.63
12 Sm 0.8133 0.9918 0.3051  3 Hg 3.28-3.30, 2 Tl 3.34, 2 Sm 3.57-3.63
13 Hg 0.8669 0.6331 0.0000  1 Hg 3.00, 8 Sm 3.11-3.30
14 Hg 0.1331 0.3669 0.0000  1 Hg 3.00, 8 Sm 3.11-3.30
15 Hg 0.3669 0.8669 0.0000  1 Hg 3.00, 8 Sm 3.11-3.30
16 Hg 0.6331 0.1331 0.0000  1 Hg 3.00, 8 Sm 3.11-3.30



No. 2
A plane-wave DFT calculation with PBE-GGA was carried out for a relaxed structure of SmTlHg4.

E_form = -0.58 eV/f.u.
total energy = -8.87 eV per cell
relative energy among the computed polymorphs = 137 meV/atom
M_tot = 0.000 μB/cell

a = 6.0699 Å, b = 6.0699 Å, c = 6.0699 Å
α = 60.00°, β = 60.00°, γ = 60.00°
With the nearest neighbours (Å) after each atom.
Element x y z (fractional)
1 Hg 0.6247 0.6247 0.6247  6 Hg 3.03-3.04
2 Hg 0.1260 0.6247 0.6247  6 Hg 3.03-3.04
3 Hg 0.6247 0.6247 0.1260  6 Hg 3.03-3.04
4 Hg 0.6247 0.1260 0.6247  6 Hg 3.03-3.04
5 Sm 0.2500 0.2500 0.2500  12 Hg 3.56, 4 Tl 3.72
6 Tl 0.0000 0.0000 0.0000  12 Hg 3.56, 4 Sm 3.72



No. 3
A plane-wave DFT calculation with PBE-GGA was carried out for a relaxed structure of Sm2TlHg.

E_form = -1.70 eV/f.u.
total energy = -13.81 eV per cell
M_tot = 0.756 μB/cell

a = 3.8093 Å, b = 3.8093 Å, c = 7.7639 Å
α = 90.00°, β = 90.00°, γ = 90.00°
With the nearest neighbours (Å) after each atom.
Element x y z (fractional)
1 Tl 0.5000 0.5000 0.5000  8 Sm 3.36
2 Sm 0.0000 0.0000 0.2413  4 Hg 3.28, 4 Tl 3.36
3 Sm 0.0000 0.0000 0.7587  4 Hg 3.28, 4 Tl 3.36
4 Hg 0.5000 0.5000 0.0000  8 Sm 3.28



No. 4
A plane-wave DFT calculation with PBE-GGA was carried out for a relaxed structure of Sm2TlHg4.

E_form = -2.09 eV/f.u.
total energy = -15.10 eV per cell
relative energy among the computed polymorphs = 0 meV/atom
M_tot = 0.000 μB/cell

a = 5.3145 Å, b = 5.3145 Å, c = 8.1744 Å
α = 71.03°, β = 71.03°, γ = 60.00°
With the nearest neighbours (Å) after each atom.
Element x y z (fractional)
1 Sm 0.7243 0.7243 0.8270  5 Hg 3.15-3.39, 3 Tl 3.34
2 Sm 0.2757 0.2757 0.1730  5 Hg 3.15-3.39, 3 Tl 3.34
3 Tl 0.0000 0.0000 0.0000  2 Hg 3.12, 6 Sm 3.34
4 Hg 0.5750 0.5750 0.2749  4 Sm 3.16-3.39, 4 Hg 3.24-3.41
5 Hg 0.1371 0.1371 0.5888  1 Tl 3.12, 1 Sm 3.15, 6 Hg 3.24-3.35
6 Hg 0.8629 0.8629 0.4112  1 Tl 3.12, 1 Sm 3.15, 6 Hg 3.24-3.35
7 Hg 0.4250 0.4250 0.7251  4 Sm 3.16-3.39, 4 Hg 3.24-3.41



No. 5
A plane-wave DFT calculation with PBE-GGA was carried out for a relaxed structure of Sm5Tl2Hg.

E_form = -2.14 eV/f.u.
total energy = -61.53 eV per cell
relative energy among the computed polymorphs = 0 meV/atom
M_tot = 0.001 μB/cell

a = 8.1524 Å, b = 8.1524 Å, c = 9.3459 Å
α = 115.86°, β = 115.86°, γ = 90.00°
With the nearest neighbours (Å) after each atom.
Element x y z (fractional)
1 Sm 0.0000 0.0000 0.0000  4 Tl 3.18
2 Sm 0.5000 0.5000 0.0000  4 Tl 3.18
3 Sm 0.5101 0.6820 0.6921  3 Tl 3.26-3.32, 2 Hg 3.36, 1 Sm 3.45
4 Sm 0.1820 0.0101 0.6921  3 Tl 3.26-3.32, 2 Hg 3.36, 1 Sm 3.45
5 Sm 0.9899 0.4899 0.3079  3 Tl 3.26-3.32, 2 Hg 3.36, 1 Sm 3.45
6 Sm 0.8180 0.9899 0.3079  3 Tl 3.26-3.32, 2 Hg 3.36, 1 Sm 3.45
7 Sm 0.6820 0.1820 0.6921  3 Tl 3.26-3.32, 2 Hg 3.36, 1 Sm 3.45
8 Sm 0.0101 0.5101 0.6921  3 Tl 3.26-3.32, 2 Hg 3.36, 1 Sm 3.45
9 Sm 0.4899 0.3180 0.3079  3 Tl 3.26-3.32, 2 Hg 3.36, 1 Sm 3.45
10 Sm 0.3180 0.8180 0.3079  3 Tl 3.26-3.32, 2 Hg 3.36, 1 Sm 3.45
11 Tl 0.8675 0.6325 0.0000  1 Tl 3.06, 8 Sm 3.18-3.32
12 Tl 0.3675 0.8675 0.0000  1 Tl 3.06, 8 Sm 3.18-3.32
13 Tl 0.6325 0.1325 0.0000  1 Tl 3.06, 8 Sm 3.18-3.32
14 Tl 0.1325 0.3675 0.0000  1 Tl 3.06, 8 Sm 3.18-3.32
15 Hg 0.2500 0.2500 0.5000  10 Sm 3.36-3.68
16 Hg 0.7500 0.7500 0.5000  10 Sm 3.36-3.68



No. 6
A plane-wave DFT calculation with PBE-GGA was carried out for a relaxed structure of Sm3Tl2Hg2.

E_form = -2.29 eV/f.u.
total energy = -21.78 eV per cell
M_tot = 0.000 μB/cell

a = 5.1857 Å, b = 5.3314 Å, c = 9.4342 Å
α = 96.73°, β = 105.94°, γ = 118.83°
With the nearest neighbours (Å) after each atom.
Element x y z (fractional)
1 Hg 0.7073 0.7670 0.6377  1 Hg 2.96, 5 Sm 3.09-3.21
2 Hg 0.2927 0.2330 0.3623  1 Hg 2.96, 5 Sm 3.09-3.21
3 Sm 0.4255 0.1448 0.7003  4 Hg 3.09-3.21, 3 Tl 3.33-3.34
4 Sm 0.0000 0.0000 0.0000  2 Hg 3.14, 6 Tl 3.29-3.34
5 Sm 0.5745 0.8552 0.2997  4 Hg 3.09-3.21, 3 Tl 3.33-3.34
6 Tl 0.2184 0.5781 0.8551  6 Sm 3.29-3.34, 2 Hg 3.51-3.54
7 Tl 0.7816 0.4219 0.1449  6 Sm 3.29-3.34, 2 Hg 3.51-3.54



No. 7
A plane-wave DFT calculation with PBE-GGA was carried out for a relaxed structure of Sm2YTl2Hg2.

E_form = -1.36 eV/f.u.
total energy = -22.59 eV per cell
M_tot = 0.000 μB/cell

a = 5.0090 Å, b = 5.0090 Å, c = 9.4368 Å
α = 74.61°, β = 74.61°, γ = 60.00°
With the nearest neighbours (Å) after each atom.
Element x y z (fractional)
1 Tl 0.7245 0.7245 0.8265  3 Hg 3.09, 3 Y 3.29
2 Tl 0.2755 0.2755 0.1735  3 Hg 3.09, 3 Y 3.29
3 Y 0.0000 0.0000 0.0000  6 Tl 3.29, 2 Sm 3.59
4 Sm 0.1331 0.1331 0.6008  3 Hg 3.04
5 Sm 0.8669 0.8669 0.3992  3 Hg 3.04
6 Hg 0.4315 0.4315 0.7056  3 Sm 3.04, 3 Tl 3.09
7 Hg 0.5685 0.5685 0.2944  3 Sm 3.04, 3 Tl 3.09



No. 8
A plane-wave DFT calculation with PBE-GGA was carried out for a relaxed structure of Sm5TmHg4.

E_form = -3.61 eV/f.u.
total energy = -32.89 eV per cell
M_tot = 1.163 μB/cell

a = 3.7508 Å, b = 3.7508 Å, c = 20.1804 Å
α = 90.00°, β = 90.00°, γ = 90.00°
With the nearest neighbours (Å) after each atom.
Element x y z (fractional)
1 Sm 0.5000 0.5000 0.6903  8 Hg 3.27-3.31
2 Sm 0.5000 0.5000 0.1180  4 Hg 3.26, 4 Tm 3.56
3 Sm 0.5000 0.5000 0.5000  8 Hg 3.28
4 Sm 0.5000 0.5000 0.3097  8 Hg 3.27-3.31
5 Sm 0.5000 0.5000 0.8820  4 Hg 3.26, 4 Tm 3.56
6 Hg 0.0000 0.0000 0.2117  8 Sm 3.26-3.31
7 Hg 0.0000 0.0000 0.7883  8 Sm 3.26-3.31
8 Hg 0.0000 0.0000 0.4044  8 Sm 3.27-3.28
9 Hg 0.0000 0.0000 0.5956  8 Sm 3.27-3.28
10 Tm 0.0000 0.0000 0.0000  8 Sm 3.56, 4 Tm 3.75